# Li2Co4OF8 PBE+U relaxed
# mass density: 4.117 g/cm3
# electronic total energy: -76.3 eV per formula unit
# total moment: 12.01 μB/f.u.
# crystal system: monoclinic
# offset from the most stable computed form: 0.000 kcal/mol of atoms
data_Li2Co4OF8
_space_group_name_H-M_alt 'C 1 c 1'
_space_group_IT_number 9
_cell_length_a 9.231
_cell_length_b 5.162
_cell_length_c 14.140
_cell_angle_alpha 90.00
_cell_angle_beta 91.04
_cell_angle_gamma 90.00
loop_
_space_group_symop_operation_xyz
'x,y,z'
'x,-y,z+1/2'
'x+1/2,y+1/2,z'
'x+1/2,-y+1/2,z+1/2'
loop_
_atom_site_label
_atom_site_type_symbol
_atom_site_fract_x
_atom_site_fract_y
_atom_site_fract_z
Li1 Li 0.000 0.009 0.000
Li2 Li 0.495 0.473 0.793
Co1 Co 0.168 0.492 0.469
Co2 Co 0.174 0.468 0.684
Co3 Co 0.329 0.015 0.835
Co4 Co 0.339 0.003 0.636
O1 O 0.335 0.276 0.734
F1 F 0.000 0.305 0.405
F2 F 0.024 0.362 0.071
F3 F 0.152 0.160 0.905
F4 F 0.166 0.180 0.565
F5 F 0.175 0.172 0.239
F6 F 0.323 0.350 0.069
F7 F 0.342 0.330 0.406
F8 F 0.488 0.180 0.236